This record from the Alexandria database describes a relaxed SiMo2Se crystal. The functional is PBE.

abc: 5.517 5.517 5.517
angles: 147.72 135.04 56.42
Fractional positions:
Mo1 0.006 0.006 0.000
Mo2 0.739 0.239 0.500
Se1 0.521 0.521 0.000
Si1 0.234 0.734 0.500

Summary:
Formation energy (no corrections) (eV/f.u.): 0.445
Distance to the lowest polymorph of the same formula (eV/f.u.): 0.95
Fermi-level density of states (states/eV/cell): 2.93
DFT total energy (eV/atom): -7.531

=====

This record from the Alexandria database describes a relaxed SiMo2Se crystal. The functional is PBE.

abc: 4.695 4.695 4.530
angles: 74.74 74.74 39.47
Fractional positions:
Mo1 0.991 0.991 0.070
Mo2 0.755 0.755 0.703
Se1 0.498 0.498 0.534
Si1 0.256 0.256 0.193

Summary:
Formation energy (no corrections) (eV/f.u.): -0.331
Distance to the lowest polymorph of the same formula (eV/f.u.): 0.17
Fermi-level density of states (states/eV/cell): 1.70
DFT total energy (eV/atom): -7.725